Crystalline Ce3Ge13Ru4 at its relaxed geometry. Source: Alexandria via LeMat-Bulk, functional PBEsol.

extended XYZ file:
```
40
Lattice="8.951 0.000 0.000 0.000 8.951 0.000 0.000 0.000 8.951" Properties=species:S:1:pos:R:3 pbc="T T T"
Ce 0.000 2.238 4.475
Ce 0.000 6.713 4.475
Ce 2.238 4.475 0.000
Ce 4.475 0.000 2.238
Ce 4.475 0.000 6.713
Ce 6.713 4.475 0.000
Ge 0.000 0.000 0.000
Ge 0.000 2.749 1.336
Ge 0.000 2.749 7.615
Ge 0.000 6.202 1.336
Ge 0.000 6.202 7.615
Ge 1.336 0.000 2.749
Ge 1.336 0.000 6.202
Ge 1.726 4.475 3.139
Ge 1.726 4.475 5.811
Ge 2.749 1.336 0.000
Ge 2.749 7.615 0.000
Ge 3.139 1.726 4.475
Ge 3.139 7.224 4.475
Ge 4.475 3.139 1.726
Ge 4.475 3.139 7.224
Ge 4.475 4.475 4.475
Ge 4.475 5.811 1.726
Ge 4.475 5.811 7.224
Ge 5.811 1.726 4.475
Ge 5.811 7.224 4.475
Ge 6.202 1.336 0.000
Ge 6.202 7.615 0.000
Ge 7.224 4.475 3.139
Ge 7.224 4.475 5.811
Ge 7.615 0.000 2.749
Ge 7.615 0.000 6.202
Ru 2.238 2.238 2.238
Ru 2.238 2.238 6.713
Ru 2.238 6.713 2.238
Ru 2.238 6.713 6.713
Ru 6.713 2.238 2.238
Ru 6.713 2.238 6.713
Ru 6.713 6.713 2.238
Ru 6.713 6.713 6.713
```

Fermi-level density of states	27.511	states/eV/cell
ΔE_f	-0.4840	eV/atom
SG	Pm-3n, No. 223
final energy	-268.7	eV/cell
crystal system	cubic